Record 1
# Ta2MnW PBE relaxed
# * calculated density: 15.611 g cm⁻³
# * DFT total energy: -11.412 eV per atom
# * formation energy: 0.045 eV/atom
# * N(E_F): 8.170 states/eV per cell
# * magnetic moment: 1.18 μB/cell
data_Ta2MnW
_cell_length_a 3.236
_cell_length_b 4.571
_cell_length_c 8.639
_cell_angle_alpha 90.00
_cell_angle_beta 90.00
_cell_angle_gamma 90.00
_space_group_name_H-M_alt 'C m m 2'
_space_group_IT_number 35
_space_group_name_Hall 'C 2 -2'
loop_
_atom_site_label
_atom_site_fract_x
_atom_site_fract_y
_atom_site_fract_z
_atom_site_occupancy
Ta1 0.000 0.000 0.000 1
Ta2 0.000 0.500 0.277 1
Mn1 0.000 0.000 0.509 1
W1 0.000 0.500 0.734 1


Record 2
# BC2 PBE relaxed
# * calculated density: 3.012 g cm⁻³
# * DFT total energy: -8.023 eV per atom
# * formation energy: 0.352 eV/atom
# * N(E_F): 3.609 states/eV per cell
# * magnetic moment: 0.00 μB/cell
# * distance to the lowest polymorph of the same formula: 112 meV per atom
data_BC2
_cell_length_a 4.602
_cell_length_b 2.599
_cell_length_c 6.430
_cell_angle_alpha 90.00
_cell_angle_beta 93.06
_cell_angle_gamma 90.00
_space_group_name_H-M_alt 'P 1 m 1'
_space_group_IT_number 6
_space_group_name_Hall 'P -2y'
loop_
_atom_site_label
_atom_site_fract_x
_atom_site_fract_y
_atom_site_fract_z
_atom_site_occupancy
B1 0.000 0.000 0.000 1
B2 0.186 0.500 0.420 1
B3 0.407 0.000 0.094 1
B4 0.689 0.000 0.418 1
C1 0.043 0.000 0.747 1
C2 0.200 0.500 0.677 1
C3 0.339 0.000 0.325 1
C4 0.534 0.500 0.753 1
C5 0.541 0.500 0.992 1
C6 0.694 0.000 0.676 1
C7 0.851 0.500 0.093 1
C8 0.860 0.500 0.324 1


Record 3
# Mg2InAu PBE relaxed
# * calculated density: 7.402 g cm⁻³
# * DFT total energy: -2.611 eV per atom
# * formation energy: -0.309 eV/atom
# * N(E_F): 1.004 states/eV per cell
# * magnetic moment: 0.00 μB/cell
data_Mg2InAu
_cell_length_a 4.577
_cell_length_b 4.577
_cell_length_c 3.859
_cell_angle_alpha 90.00
_cell_angle_beta 90.00
_cell_angle_gamma 90.00
_space_group_name_H-M_alt 'P 4/m m m'
_space_group_IT_number 123
_space_group_name_Hall '-P 4 2'
loop_
_atom_site_label
_atom_site_fract_x
_atom_site_fract_y
_atom_site_fract_z
_atom_site_occupancy
Mg1 0.000 0.500 0.000 1
In1 0.000 0.000 0.500 1
Au1 0.500 0.500 0.500 1


Record 4
# VB2PC PBE relaxed
# * calculated density: 3.158 g cm⁻³
# * DFT total energy: -5.553 eV per atom
# * formation energy: 1.869 eV/atom
# * N(E_F): 4.255 states/eV per cell
# * magnetic moment: 0.00 μB/cell
# * distance to the lowest polymorph of the same formula: 239 meV per atom
data_VB2PC
_cell_length_a 3.558
_cell_length_b 3.558
_cell_length_c 4.799
_cell_angle_alpha 90.00
_cell_angle_beta 90.00
_cell_angle_gamma 90.00
_space_group_name_H-M_alt 'P 4/m m m'
_space_group_IT_number 123
_space_group_name_Hall '-P 4 2'
loop_
_atom_site_label
_atom_site_fract_x
_atom_site_fract_y
_atom_site_fract_z
_atom_site_occupancy
V1 0.000 0.000 0.000 1
B1 0.000 0.500 0.500 1
P1 0.000 0.000 0.500 1
C1 0.500 0.500 0.000 1